# 1
Computed, not measured: a relaxed structure of TbDySb2 at the PBE level of DFT.

- DOS at the Fermi energy (states/eV per atom) = 0.158
- symmetry = No. 141
- ΔE to the lowest computed polymorph (meV per atom) = 0.0
- magnetic moment (μB/cell) = 0.00
- formation energy from raw total energies (eV per atom) = -1.14

Unit cell a=6.208 b=6.208 c=12.426 alpha=90.00 beta=90.00 gamma=90.00
Fractional coordinates of all 16 atoms:
Tb1 0.000 0.250 0.375
Tb2 0.000 0.750 0.625
Tb3 0.500 0.250 0.125
Tb4 0.500 0.750 0.875
Dy1 0.000 0.250 0.875
Dy2 0.000 0.750 0.125
Dy3 0.500 0.250 0.625
Dy4 0.500 0.750 0.375
Sb1 0.000 0.250 0.125
Sb2 0.000 0.250 0.625
Sb3 0.000 0.750 0.375
Sb4 0.000 0.750 0.875
Sb5 0.500 0.250 0.375
Sb6 0.500 0.250 0.875
Sb7 0.500 0.750 0.125
Sb8 0.500 0.750 0.625

# 2
Computed, not measured: a relaxed structure of LaPm4Pr2Nd at the PBE level of DFT.

- DOS at the Fermi energy (states/eV per atom) = 1.679
- symmetry = No. 10
- magnetic moment (μB/cell) = 0.00
- energy relative to the elements (eV/atom) = 0.0149

Unit cell a=6.374 b=3.694 c=12.222 alpha=90.00 beta=100.34 gamma=90.00
Fractional coordinates of all 8 atoms:
La1 0.000 0.000 0.000
Pm1 0.250 0.500 0.250
Pm2 0.251 0.000 0.750
Pm3 0.749 0.000 0.250
Pm4 0.750 0.500 0.750
Pr1 0.000 0.500 0.500
Pr2 0.500 0.000 0.500
Nd1 0.500 0.500 0.000

# 3
Computed, not measured: a relaxed structure of UPaC at the PBE level of DFT.

- DOS at the Fermi energy (states/eV per atom) = 2.436
- symmetry = No. 107
- ΔE to the lowest computed polymorph (meV per atom) = 594.4
- magnetic moment (μB/cell) = 3.32
- energy relative to the elements (eV/atom) = 0.5322

Unit cell a=3.482 b=3.482 c=10.187 alpha=90.00 beta=90.00 gamma=90.00
Fractional coordinates of all 6 atoms:
U1 0.000 0.000 0.000
U2 0.500 0.500 0.500
Pa1 0.000 0.000 0.713
Pa2 0.500 0.500 0.213
C1 0.000 0.000 0.225
C2 0.500 0.500 0.725

# 4
Computed, not measured: a relaxed structure of Ac2PmTl at the PBE level of DFT.

- DOS at the Fermi energy (states/eV per atom) = 1.269
- symmetry = No. 11
- ΔE to the lowest computed polymorph (meV per atom) = 0.0
- magnetic moment (μB/cell) = 0.00
- energy relative to the elements (eV/atom) = -0.1399

Unit cell a=7.167 b=5.600 c=7.611 alpha=90.00 beta=104.19 gamma=90.00
Fractional coordinates of all 8 atoms:
Ac1 0.147 0.250 0.413
Ac2 0.158 0.250 0.917
Ac3 0.842 0.750 0.083
Ac4 0.853 0.750 0.587
Pm1 0.392 0.750 0.228
Pm2 0.608 0.250 0.772
Tl1 0.373 0.750 0.717
Tl2 0.627 0.250 0.283

# 5
Computed, not measured: a relaxed structure of La6HgIr2Cl3 at the PBE level of DFT.

- DOS at the Fermi energy (states/eV per atom) = 0.775
- symmetry = No. 12
- magnetic moment (μB/cell) = 0.00
- formation energy from raw total energies (eV per atom) = -1.20

Unit cell a=10.000 b=10.000 c=9.082 alpha=106.47 beta=106.47 gamma=24.49
Fractional coordinates of all 12 atoms:
La1 0.018 0.018 0.267
La2 0.319 0.319 0.435
La3 0.334 0.334 0.881
La4 0.666 0.666 0.119
La5 0.681 0.681 0.565
La6 0.982 0.982 0.733
Hg1 0.500 0.500 0.000
Ir1 0.168 0.168 0.338
Ir2 0.832 0.832 0.662
Cl1 0.168 0.168 0.844
Cl2 0.500 0.500 0.500
Cl3 0.832 0.832 0.156

# 6
Computed, not measured: a relaxed structure of Ca2YH4 at the PBE level of DFT.

- DOS at the Fermi energy (states/eV per atom) = 0.457
- symmetry = No. 139
- final energy (hartree per atom) = -0.1369
- magnetic moment (μB/cell) = 0.00

Unit cell a=4.214 b=4.214 c=12.538 alpha=90.00 beta=90.00 gamma=90.00
Fractional coordinates of all 14 atoms:
Ca1 0.000 0.000 0.147
Ca2 0.000 0.000 0.853
Ca3 0.500 0.500 0.353
Ca4 0.500 0.500 0.647
Y1 0.000 0.000 0.500
Y2 0.500 0.500 0.000
H1 0.000 0.000 0.325
H2 0.000 0.000 0.675
H3 0.000 0.500 0.000
H4 0.000 0.500 0.500
H5 0.500 0.000 0.000
H6 0.500 0.000 0.500
H7 0.500 0.500 0.175
H8 0.500 0.500 0.825